Record 1
Entry from the Alexandria database: a geometry-optimized LiYCr2B structure (GGA-PBE).

The structure belongs to space group P4/mmm (No. 123); the cell edges are 4.858, 4.858 and 4.870 Å and the angles 90.00°, 90.00° and 90.00°. The inequivalent atoms are Li at (0.000, 0.000, 0.000), Y at (0.000, 0.000, 0.500), Cr at (0.000, 0.500, 0.500) and B at (0.500, 0.500, 0.000).

The total magnetization is 6.25 μB per formula unit. For the calculated total energy, the calculation gives -4.345 eV/atom. The value obtained for the formation energy is 2.52 eV/atom.


Record 2
Entry from the Alexandria database: a geometry-optimized Mg2CrB structure (GGA-PBE).

The structure belongs to space group Fm-3m (No. 225); the cell edges are 6.038, 6.038 and 6.038 Å and the angles 90.00°, 90.00° and 90.00°. The inequivalent atoms are Mg at (0.250, 0.250, 0.250), Cr at (0.000, 0.000, 0.000) and B at (0.000, 0.000, 0.500).

The total magnetization is 0.00 μB per formula unit. As for the energy above the most stable polymorph in this dataset: 349 meV/atom. For the calculated total energy, the calculation gives -3.766 eV/atom. The value obtained for the formation energy is 1.11 eV/atom.


Record 3
Entry from the Alexandria database: a geometry-optimized Mg2Cr6B structure (GGA-PBE).

The structure belongs to space group I4/mmm (No. 139); the cell edges are 5.872, 5.872 and 6.960 Å and the angles 90.00°, 90.00° and 90.00°. The inequivalent atoms are Mg at (0.000, 0.500, 0.250), Cr at (0.000, 0.000, 0.203), Cr at (0.242, 0.242, 0.000) and B at (0.000, 0.000, 0.500).

The total magnetization is 4.57 μB per formula unit. For the calculated total energy, the calculation gives -7.189 eV/atom. The value obtained for the formation energy is 0.32 eV/atom.